1.
LiCrAg2P | GGA-PBE | relaxed

The space group is P4/mmm (No. 123) and the conventional cell measures 5.1028, 5.1028 and 4.3904 Å, with angles of 90.00, 90.00 and 90.00 degrees. The asymmetric unit holds Li at (0.0000, 0.0000, 0.0000), Cr at (0.5000, 0.5000, 0.5000), Ag at (0.0000, 0.5000, 0.5000) and P at (0.5000, 0.5000, 0.0000).

As for the energy: -20.613 eV/cell. As for the crystal system: tetragonal.


2.
LiCr2AgPb | GGA-PBE | relaxed

The space group is P4/mmm (No. 123) and the conventional cell measures 5.1649, 5.1649 and 5.3604 Å, with angles of 90.00, 90.00 and 90.00 degrees. The asymmetric unit holds Li at (0.0000, 0.0000, 0.0000), Cr at (0.0000, 0.5000, 0.5000), Ag at (0.5000, 0.5000, 0.5000) and Pb at (0.5000, 0.5000, 0.0000).

As for the energy: -22.657 eV/cell. As for the crystal system: tetragonal.


3.
LiCrAgSb | GGA-PBE | relaxed

The space group is F-43m (No. 216) and the conventional cell measures 6.5832, 6.5832 and 6.5832 Å, with angles of 90.00, 90.00 and 90.00 degrees. The asymmetric unit holds Li at (0.0000, 0.0000, 0.0000), Cr at (0.0000, 0.0000, 0.5000), Ag at (0.2500, 0.2500, 0.7500) and Sb at (0.2500, 0.2500, 0.2500).

As for the energy: -74.902 eV/cell. As for the crystal system: cubic.


- Among the records above, which one has the highest energy?
  LiCrAg2P


Repeat the third record exactly.
LiCrAgSb | GGA-PBE | relaxed

The space group is F-43m (No. 216) and the conventional cell measures 6.5832, 6.5832 and 6.5832 Å, with angles of 90.00, 90.00 and 90.00 degrees. The asymmetric unit holds Li at (0.0000, 0.0000, 0.0000), Cr at (0.0000, 0.0000, 0.5000), Ag at (0.2500, 0.2500, 0.7500) and Sb at (0.2500, 0.2500, 0.2500).

As for the energy: -74.902 eV/cell. As for the crystal system: cubic.